(1)
5
Lattice="4.727 0.000 0.000 0.000 5.591 0.000 0.000 0.000 4.727" Properties=species:S:1:pos:R:3 comment="V2SiAsPb PBE relaxed" e_form_raw_ev_per_atom=0.93 spacegroup="No. 123" pbc="T T T"
As 0.000 0.000 0.000
V 2.363 0.000 0.000
V 0.000 0.000 2.363
Si 2.363 2.796 2.363
Pb 0.000 2.796 0.000



(2)
8
Lattice="-4.133 0.441 1.028 0.912 -0.948 4.074 0.183 11.252 4.826" Properties=species:S:1:pos:R:3 comment="ScBi2S PBE relaxed" e_form_raw_ev_per_atom=-0.26 spacegroup="No. 122" pbc="T T T"
Bi 0.133 2.272 3.873
Bi -2.457 2.974 2.367
Bi -2.673 7.987 8.117
Bi -1.078 8.256 5.499
S -0.257 5.025 5.726
S -1.610 -0.253 2.551
Sc 0.000 0.000 0.000
Sc -2.780 5.719 4.203



(3)
9
Lattice="5.308 0.000 1.364 2.376 6.284 1.762 -0.175 -0.209 11.691" Properties=species:S:1:pos:R:3 comment="Ba5Pb4 PBE relaxed" ef_mev_per_atom=-550.6 relative_energy_ev_per_fu=0.00 spacegroup="No. 12" pbc="T T T"
Ba 2.063 2.094 2.983
Ba 6.631 4.910 7.224
Ba 5.446 3.980 11.834
Ba 0.878 1.165 7.593
Ba 0.000 0.000 0.000
Pb 3.407 3.805 8.762
Pb 4.642 4.575 3.956
Pb 4.102 2.270 6.056
Pb 2.867 1.500 10.861



(4)
4
Lattice="4.072 0.000 0.000 2.036 3.526 0.000 2.036 1.175 4.847" Properties=species:S:1:pos:R:3 comment="LuGa2Fe PBE relaxed" ef_mev_per_atom=-300.4 spacegroup="No. 166" pbc="T T T"
Lu 4.072 2.351 2.424
Ga 2.036 1.175 0.686
Ga 6.108 3.526 4.162
Fe 0.000 0.000 0.000



(5)
4
Lattice="5.322 0.000 0.000 2.661 4.609 0.000 2.661 1.536 3.470" Properties=species:S:1:pos:R:3 comment="Pa2CrSe PBE relaxed" e_form_raw_ev_per_atom=-0.12 spacegroup="No. 166" pbc="T T T"
Cr 0.000 0.000 0.000
Se 5.322 3.073 1.735
Pa 2.661 1.536 1.021
Pa 7.983 4.609 2.449



(6)
14
Lattice="8.854 0.810 2.228 -3.744 6.927 4.662 -0.458 0.800 9.104" Properties=species:S:1:pos:R:3 comment="RbP2Br4 PBE relaxed" e_form_raw_ev_per_atom=-0.47 spacegroup="No. 5" pbc="T T T"
Br 5.949 2.119 8.720
Br 4.171 5.415 9.506
Br 2.145 1.803 2.214
Br -0.608 5.152 5.017
Br 5.598 1.065 3.675
Br 3.529 4.883 5.439
Br -0.208 4.390 8.746
Br 2.235 1.596 6.896
Rb 1.274 6.203 11.437
Rb -3.743 6.924 4.664
P 0.443 6.567 6.811
P 3.386 3.505 8.071
P 3.917 2.512 10.147
P 1.558 4.491 6.960



(7)
11
Lattice="-9.372 -2.008 0.366 1.622 -6.571 5.464 -1.584 7.962 3.122" Properties=species:S:1:pos:R:3 comment="KIn2I8 PBE relaxed" e_form_raw_ev_per_atom=-0.53 relative_energy_ev_per_fu=0.48 spacegroup="No. 164" pbc="T T T"
I -7.082 -2.394 2.512
I -8.422 1.424 4.212
I -7.062 -1.664 7.019
I -0.913 -2.041 4.741
I -6.231 -5.843 5.380
I -3.104 5.226 3.572
I -2.273 1.047 1.934
I -2.253 1.777 6.440
K -4.686 -1.004 0.183
In -7.581 -3.469 5.001
In -1.754 2.853 3.951



(8)
4
Lattice="5.066 0.000 0.000 2.533 4.387 0.000 2.533 1.462 4.136" Properties=species:S:1:pos:R:3 comment="PmGePdPb PBE relaxed" ef_mev_per_atom=-402.5 spacegroup="No. 216" pbc="T T T"
Pd 5.066 2.925 2.068
Pb 2.533 1.462 1.034
Ge 0.000 0.000 0.000
Pm 7.598 4.387 3.102



(9)
10
Lattice="-5.850 -3.962 -1.208 2.504 -5.048 4.431 -1.725 1.669 2.876" Properties=species:S:1:pos:R:3 comment="Hf2ScGe2 PBE relaxed" ef_mev_per_atom=-686.7 relative_energy_ev_per_fu=0.00 spacegroup="No. 127" pbc="T T T"
Hf -4.902 -4.148 1.907
Hf -2.393 -1.328 1.775
Hf -2.678 -6.014 4.324
Hf -0.169 -3.193 4.191
Sc 0.000 0.000 0.000
Sc -1.673 -4.505 1.611
Ge 0.024 -5.832 3.398
Ge -3.488 -6.631 1.757
Ge 0.141 -2.380 1.466
Ge -3.370 -3.179 -0.176



(10)
22
Lattice="-7.299 -2.988 -2.918 2.878 -0.455 -7.889 2.441 -7.994 0.924" Properties=species:S:1:pos:R:3 comment="Na2Cd17In3 PBE relaxed" ef_mev_per_atom=91.0 spacegroup="No. 166" pbc="T T T"
Cd -2.551 -7.420 -3.202
Cd 2.770 -2.320 -5.709
Cd 2.549 -6.130 -1.256
Cd 0.570 -4.018 -6.682
Cd -3.787 -5.103 -4.553
Cd 0.361 -1.082 -6.659
Cd 1.439 -0.228 -3.944
Cd -1.705 -9.847 -8.508
Cd -4.782 -2.362 -4.148
Cd 0.383 -7.246 -2.908
Cd -0.275 -1.591 -1.375
Cd 1.220 -3.997 0.462
Cd -4.890 -4.226 -1.968
Cd -2.364 -4.191 -6.975
Cd 0.032 -6.756 -0.027
Cd 1.807 -6.335 -5.330
Cd -3.649 -1.494 -1.459
In -2.429 -5.491 -0.997
In -2.211 -1.722 -5.404
In 2.659 -4.225 -3.483
Na -1.274 -7.356 -6.356
Na -0.707 -4.082 -3.527



(11)
3
Lattice="3.672 0.000 0.000 0.000 3.672 0.000 -1.836 -1.836 6.138" Properties=species:S:1:pos:R:3 comment="ThTlHg PBE relaxed" ef_mev_per_atom=-85.5 relative_energy_ev_per_fu=0.30 spacegroup="No. 107" pbc="T T T"
Th 1.836 1.836 1.359
Hg 1.836 1.836 5.471
Tl 0.000 0.000 3.605



(12)
10
Lattice="7.869 0.010 0.005 3.943 6.810 0.003 3.941 2.274 7.052" Properties=species:S:1:pos:R:3 comment="RbErGa2Br6 PBE relaxed" e_form_raw_ev_per_atom=-1.32 spacegroup="No. 1" pbc="T T T"
Br 5.709 4.287 5.418
Br 8.741 6.551 5.415
Br 6.287 2.209 1.637
Br 6.646 7.083 1.641
Br 10.692 4.353 1.640
Br 9.188 2.793 5.421
Ga 7.880 4.549 3.190
Ga 3.940 2.276 6.907
Rb 11.812 6.821 3.967
Er 3.937 2.272 0.166



(13)
5
Lattice="-0.794 -3.478 -1.135 2.917 0.099 -2.344 6.026 -4.796 4.306" Properties=species:S:1:pos:R:3 comment="Ag2PdPb2 PBE relaxed" ef_mev_per_atom=109.4 relative_energy_ev_per_fu=0.06 spacegroup="No. 139" pbc="T T T"
Pb 6.143 -5.895 1.416
Pb 2.006 -2.280 -0.590
Ag 5.002 -3.193 0.111
Ag 3.147 -4.982 0.715
Pd 0.000 0.000 0.000



(14)
5
Lattice="5.783 0.000 0.000 0.000 5.783 0.000 0.000 0.000 5.128" Properties=species:S:1:pos:R:3 comment="KInS2N PBE relaxed" e_form_raw_ev_per_atom=1.30 relative_energy_ev_per_fu=4.83 spacegroup="No. 123" pbc="T T T"
K 0.000 0.000 0.000
S 0.000 2.892 0.000
S 2.892 0.000 0.000
N 0.000 0.000 2.564
In 2.892 2.892 2.564



(15)
8
Lattice="5.271 0.278 0.000 -0.520 5.253 0.000 0.000 0.000 6.588" Properties=species:S:1:pos:R:3 comment="TmSc2Al PBE relaxed" ef_mev_per_atom=-129.2 relative_energy_ev_per_fu=0.41 spacegroup="No. 63" pbc="T T T"
Al 1.115 3.848 4.941
Al 3.636 1.682 1.647
Sc 1.006 1.171 3.294
Sc 1.006 1.171 0.000
Sc 3.745 4.359 3.294
Sc 3.745 4.359 0.000
Tm 1.231 3.749 1.647
Tm 3.520 1.782 4.941



(16)
12
Lattice="-4.949 -1.609 4.246 -0.153 -6.092 2.825 3.789 0.864 10.055" Properties=species:S:1:pos:R:3 comment="RbCdB2Br8 PBE relaxed" e_form_raw_ev_per_atom=-0.65 spacegroup="No. 148" pbc="T T T"
Br -0.398 -0.629 11.169
Br -1.975 -2.544 5.080
Br -4.133 -4.663 7.564
Br 2.820 -2.174 9.563
Br 0.830 -0.985 5.906
Br -0.916 -6.208 5.958
Br -2.144 -5.852 11.220
Br 0.662 -4.293 12.046
Cd 0.000 0.000 0.000
Rb -0.657 -3.419 8.563
B -0.275 -1.676 4.357
B -1.039 -5.161 12.770



(17)
18
Lattice="-4.246 -6.520 3.543 5.996 -1.998 -5.758 4.762 4.220 5.711" Properties=species:S:1:pos:R:3 comment="Th6Ni2Au PBE relaxed" ef_mev_per_atom=-246.5 spacegroup="No. 71" pbc="T T T"
Th 4.088 -1.813 -0.678
Th 1.325 -6.409 0.231
Th 8.336 1.265 1.719
Th 5.888 -1.303 2.378
Th 0.623 -2.994 1.118
Th 3.894 -4.382 1.753
Th -1.824 -5.563 1.778
Th 2.423 -2.485 4.175
Th 7.717 -1.063 -0.694
Th -1.205 -3.235 4.191
Th 2.618 0.084 1.744
Th 5.187 2.111 3.266
Ni 2.194 -3.986 -1.113
Ni 0.185 -0.825 3.320
Ni 0.331 -1.475 5.934
Ni 4.318 -0.312 4.609
Au 5.379 1.111 -0.024
Au 0.000 0.000 0.000



(18)
5
Lattice="4.492 0.000 0.000 0.000 5.142 0.000 0.000 0.000 4.492" Properties=species:S:1:pos:R:3 comment="TiMo2RuPb PBE relaxed" ef_mev_per_atom=1686.8 spacegroup="No. 123" pbc="T T T"
Ti 0.000 0.000 0.000
Ru 2.246 2.571 2.246
Mo 2.246 0.000 0.000
Mo 0.000 0.000 2.246
Pb 0.000 2.571 0.000



(19)
20
Lattice="6.864 0.000 -0.029 0.000 7.703 0.000 -0.093 0.000 10.177" Properties=species:S:1:pos:R:3 comment="Np3USe6 PBE relaxed" e_form_raw_ev_per_atom=-1.08 spacegroup="No. 14" pbc="T T T"
Se 2.324 6.353 0.791
Se 1.084 2.490 0.759
Se 2.301 6.342 4.315
Se 4.587 3.408 2.549
Se 1.062 2.501 4.283
Se 4.447 1.350 9.357
Se 4.469 1.361 5.833
Se 5.687 5.212 9.388
Se 2.184 4.294 7.599
Se 1.108 0.443 7.652
Se 5.709 5.202 5.865
Se 5.662 7.260 2.496
U 0.000 0.000 0.000
U 3.385 3.851 5.074
Np 3.432 3.851 -0.015
Np -0.046 0.000 5.088
Np 3.059 0.922 2.567
Np 0.326 4.774 2.507
Np 3.712 6.781 7.581
Np 6.444 2.929 7.641



(20)
13
Lattice="3.520 0.000 0.762 1.609 9.013 1.079 -0.197 -0.046 9.416" Properties=species:S:1:pos:R:3 comment="PmDy8C4 PBE relaxed" ef_mev_per_atom=-177.3 spacegroup="No. 12" pbc="T T T"
C 1.410 4.441 1.998
C 3.651 4.560 8.663
C 2.518 1.528 5.386
C 2.542 7.473 5.276
Dy 4.514 8.840 4.679
Dy 0.547 0.160 5.983
Dy 0.989 2.880 3.941
Dy 3.405 3.156 1.292
Dy 2.100 3.149 7.318
Dy 4.072 6.121 6.720
Dy 1.656 5.845 9.369
Dy 2.961 5.852 3.343
Pm 1.627 -0.029 9.499



(21)
9
Lattice="-0.475 2.768 4.085 -4.535 1.372 -1.457 -2.903 -5.786 3.583" Properties=species:S:1:pos:R:3 comment="CaAlZn2Ag5 PBE relaxed" ef_mev_per_atom=57.5 spacegroup="No. 123" pbc="T T T"
Zn -2.967 1.149 1.884
Zn -4.946 -2.796 4.327
Ag -4.527 -3.819 2.061
Ag -2.497 -3.121 4.832
Ag -0.880 0.103 2.836
Ag -3.956 -0.823 3.105
Ag -2.910 -0.595 0.065
Ca -1.451 -2.893 1.792
Al 0.000 0.000 0.000



(22)
4
Lattice="3.555 -0.019 0.009 0.019 3.555 0.009 3.556 3.518 7.385" Properties=species:S:1:pos:R:3 comment="SrYPt2 PBE relaxed" ef_mev_per_atom=-1022.7 relative_energy_ev_per_fu=0.00 spacegroup="No. 123" pbc="T T T"
Sr 5.348 5.290 5.552
Y 1.783 1.763 1.851
Pt 3.573 3.535 0.280
Pt 3.566 3.528 3.439



(23)
13
Lattice="7.099 0.000 0.000 3.550 6.148 0.000 3.550 2.049 6.240" Properties=species:S:1:pos:R:3 comment="BaAg4F8 PBE relaxed" e_form_raw_ev_per_atom=-1.64 relative_energy_ev_per_fu=0.00 spacegroup="No. 166" pbc="T T T"
F 8.775 5.066 1.284
F 3.550 2.049 0.906
F 7.099 6.034 4.956
F 5.424 3.131 4.956
F 10.649 6.148 5.334
F 7.099 2.164 1.284
F 5.424 5.066 1.284
F 8.775 3.131 4.956
Ba 7.099 4.099 3.120
Ag 5.325 3.074 0.000
Ag 1.775 3.074 0.000
Ag 0.000 0.000 0.000
Ag 3.550 0.000 0.000